No. 1
Here is crystalline Ge3BiPb at its relaxed geometry from the Alexandria database. Energies are from PBE.

Cell: 5.5215 5.5215 5.5215 Å, 90.00 90.00 90.00°
Closest atoms and distances in Å follow each position.
Sites, in units of the cell vectors:
1 Ge 0.0000 0.0000 0.5000  2 Bi 2.76
2 Ge 0.0000 0.5000 0.0000  2 Bi 2.76
3 Ge 0.5000 0.0000 0.0000  2 Bi 2.76
4 Bi 0.0000 0.0000 0.0000  6 Ge 2.76
5 Pb 0.5000 0.5000 0.5000  12 Ge 3.90

Calculated values
DFT total energy ... -3.38 eV per atom
Total magnetic moment ... 0.000 μB/atom
DFT formation energy ... 0.9097 eV per atom
Energy above the lowest structure with this stoichiometry ... 0.0 meV per atom

No. 2
Here is crystalline Ge2BiPb2 at its relaxed geometry from the Alexandria database. Energies are from PBE.

Cell: 7.8181 7.8181 4.5403 Å, 90.00 90.00 90.00°
Closest atoms and distances in Å follow each position.
Sites, in units of the cell vectors:
1 Ge 0.1173 0.3827 0.0000  1 Ge 2.59
2 Ge 0.3827 0.8827 0.0000  1 Ge 2.59
3 Ge 0.6173 0.1173 0.0000  1 Ge 2.59
4 Ge 0.8827 0.6173 0.0000  1 Ge 2.59
5 Bi 0.0000 0.0000 0.0000  4 Ge 3.13
6 Bi 0.5000 0.5000 0.0000  4 Ge 3.13
7 Pb 0.1851 0.6851 0.5000  6 Ge 3.15-3.32
8 Pb 0.3149 0.1851 0.5000  6 Ge 3.15-3.32
9 Pb 0.6851 0.8149 0.5000  6 Ge 3.15-3.32
10 Pb 0.8149 0.3149 0.5000  6 Ge 3.15-3.32

Calculated values
DFT total energy ... -3.94 eV per atom
Total magnetic moment ... 0.000 μB/atom
DFT formation energy ... 0.1696 eV per atom
Energy above the lowest structure with this stoichiometry ... 21.1 meV per atom

No. 3
Here is crystalline GeBiPb2 at its relaxed geometry from the Alexandria database. Energies are from PBE.

Cell: 3.4580 3.4580 9.7269 Å, 90.00 90.00 90.00°
Closest atoms and distances in Å follow each position.
Sites, in units of the cell vectors:
1 Ge 0.0000 0.0000 0.0000  8 Pb 3.23, 4 Ge 3.46
2 Bi 0.0000 0.0000 0.5000  4 Bi 3.46, 8 Pb 3.68
3 Pb 0.5000 0.5000 0.2174  4 Ge 3.23, 4 Pb 3.46
4 Pb 0.5000 0.5000 0.7826  4 Ge 3.23, 4 Pb 3.46

Calculated values
DFT total energy ... -3.83 eV per atom
Total magnetic moment ... 0.000 μB/atom
DFT formation energy ... 0.1466 eV per atom
Energy above the lowest structure with this stoichiometry ... 0.0 meV per atom

No. 4
Here is crystalline Ge2BiPb at its relaxed geometry from the Alexandria database. Energies are from PBE.

Cell: 5.2390 5.2390 5.2390 Å, 60.00 60.00 60.00°
Closest atoms and distances in Å follow each position.
Sites, in units of the cell vectors:
1 Ge 0.2500 0.2500 0.2500  4 Pb 3.21, 4 Bi 3.21
2 Ge 0.7500 0.7500 0.7500  4 Pb 3.21, 4 Bi 3.21
3 Bi 0.0000 0.0000 0.0000  8 Ge 3.21
4 Pb 0.5000 0.5000 0.5000  8 Ge 3.21

Calculated values
DFT total energy ... -3.94 eV per atom
Total magnetic moment ... 0.000 μB/atom
DFT formation energy ... 0.2695 eV per atom
Energy above the lowest structure with this stoichiometry ... 0.0 meV per atom

No. 5
Here is crystalline Ge2BiPb2 at its relaxed geometry from the Alexandria database. Energies are from PBE.

Cell: 9.0804 9.0804 3.3555 Å, 90.00 90.00 90.00°
Closest atoms and distances in Å follow each position.
Sites, in units of the cell vectors:
1 Ge 0.1554 0.3446 0.0000  6 Pb 3.09-3.18, 2 Ge 3.36
2 Ge 0.3446 0.8446 0.0000  6 Pb 3.09-3.18, 2 Ge 3.36
3 Ge 0.6554 0.1554 0.0000  6 Pb 3.09-3.18, 2 Ge 3.36
4 Ge 0.8446 0.6554 0.0000  6 Pb 3.09-3.18, 2 Ge 3.36
5 Bi 0.0000 0.0000 0.5000  2 Bi 3.36, 4 Pb 3.50
6 Bi 0.5000 0.5000 0.5000  2 Bi 3.36, 4 Pb 3.50
7 Pb 0.1423 0.6423 0.5000  6 Ge 3.09-3.18, 2 Pb 3.36
8 Pb 0.3577 0.1423 0.5000  6 Ge 3.09-3.18, 2 Pb 3.36
9 Pb 0.6423 0.8577 0.5000  6 Ge 3.09-3.18, 2 Pb 3.36
10 Pb 0.8577 0.3577 0.5000  6 Ge 3.09-3.18, 2 Pb 3.36

Calculated values
DFT total energy ... -3.82 eV per atom
Total magnetic moment ... 0.000 μB/atom
DFT formation energy ... 0.2893 eV per atom
Energy above the lowest structure with this stoichiometry ... 140.8 meV per atom

No. 6
Here is crystalline GeBiPb3 at its relaxed geometry from the Alexandria database. Energies are from PBE.

Cell: 5.9942 5.9942 5.9942 Å, 90.00 90.00 90.00°
Closest atoms and distances in Å follow each position.
Sites, in units of the cell vectors:
1 Ge 0.0000 0.0000 0.0000  12 Pb 4.24
2 Bi 0.5000 0.5000 0.5000  6 Pb 3.00
3 Pb 0.0000 0.5000 0.5000  2 Bi 3.00
4 Pb 0.5000 0.0000 0.5000  2 Bi 3.00
5 Pb 0.5000 0.5000 0.0000  2 Bi 3.00

Calculated values
DFT total energy ... -3.06 eV per atom
Total magnetic moment ... 0.000 μB/atom
DFT formation energy ... 0.8673 eV per atom
Energy above the lowest structure with this stoichiometry ... 496.0 meV per atom

No. 7
Here is crystalline GeBi3Pb at its relaxed geometry from the Alexandria database. Energies are from PBE.

Cell: 5.5688 5.5688 5.5688 Å, 90.00 90.00 90.00°
Closest atoms and distances in Å follow each position.
Sites, in units of the cell vectors:
1 Ge 0.0000 0.0000 0.0000  6 Bi 2.78
2 Bi 0.0000 0.0000 0.5000  2 Ge 2.78
3 Bi 0.0000 0.5000 0.0000  2 Ge 2.78
4 Bi 0.5000 0.0000 0.0000  2 Ge 2.78
5 Pb 0.5000 0.5000 0.5000  12 Bi 3.94

Calculated values
DFT total energy ... -3.52 eV per atom
Total magnetic moment ... 0.000 μB/atom
DFT formation energy ... 0.4730 eV per atom
Energy above the lowest structure with this stoichiometry ... 0.0 meV per atom

No. 8
Here is crystalline GeBi2Pb at its relaxed geometry from the Alexandria database. Energies are from PBE.

Cell: 3.8088 3.8088 7.9047 Å, 90.00 90.00 90.00°
Closest atoms and distances in Å follow each position.
Sites, in units of the cell vectors:
1 Ge 0.0000 0.0000 0.0000  8 Bi 3.19
2 Bi 0.5000 0.5000 0.2165  4 Ge 3.19, 1 Bi 3.42, 4 Pb 3.50
3 Bi 0.5000 0.5000 0.7835  4 Ge 3.19, 1 Bi 3.42, 4 Pb 3.50
4 Pb 0.0000 0.0000 0.5000  8 Bi 3.50, 4 Pb 3.81

Calculated values
DFT total energy ... -3.85 eV per atom
Total magnetic moment ... 0.000 μB/atom
DFT formation energy ... 0.1760 eV per atom

Repeat the eighth record exactly.
Here is crystalline GeBi2Pb at its relaxed geometry from the Alexandria database. Energies are from PBE.

Cell: 3.8088 3.8088 7.9047 Å, 90.00 90.00 90.00°
Closest atoms and distances in Å follow each position.
Sites, in units of the cell vectors:
1 Ge 0.0000 0.0000 0.0000  8 Bi 3.19
2 Bi 0.5000 0.5000 0.2165  4 Ge 3.19, 1 Bi 3.42, 4 Pb 3.50
3 Bi 0.5000 0.5000 0.7835  4 Ge 3.19, 1 Bi 3.42, 4 Pb 3.50
4 Pb 0.0000 0.0000 0.5000  8 Bi 3.50, 4 Pb 3.81

Calculated values
DFT total energy ... -3.85 eV per atom
Total magnetic moment ... 0.000 μB/atom
DFT formation energy ... 0.1760 eV per atom

Repeat the eighth record exactly.
Here is crystalline GeBi2Pb at its relaxed geometry from the Alexandria database. Energies are from PBE.

Cell: 3.8088 3.8088 7.9047 Å, 90.00 90.00 90.00°
Closest atoms and distances in Å follow each position.
Sites, in units of the cell vectors:
1 Ge 0.0000 0.0000 0.0000  8 Bi 3.19
2 Bi 0.5000 0.5000 0.2165  4 Ge 3.19, 1 Bi 3.42, 4 Pb 3.50
3 Bi 0.5000 0.5000 0.7835  4 Ge 3.19, 1 Bi 3.42, 4 Pb 3.50
4 Pb 0.0000 0.0000 0.5000  8 Bi 3.50, 4 Pb 3.81

Calculated values
DFT total energy ... -3.85 eV per atom
Total magnetic moment ... 0.000 μB/atom
DFT formation energy ... 0.1760 eV per atom

Question: The highest DFT total energy belongs to which entry?
Answer: GeBiPb3

Please write out number 1 again, unchanged.
Here is crystalline Ge3BiPb at its relaxed geometry from the Alexandria database. Energies are from PBE.

Cell: 5.5215 5.5215 5.5215 Å, 90.00 90.00 90.00°
Closest atoms and distances in Å follow each position.
Sites, in units of the cell vectors:
1 Ge 0.0000 0.0000 0.5000  2 Bi 2.76
2 Ge 0.0000 0.5000 0.0000  2 Bi 2.76
3 Ge 0.5000 0.0000 0.0000  2 Bi 2.76
4 Bi 0.0000 0.0000 0.0000  6 Ge 2.76
5 Pb 0.5000 0.5000 0.5000  12 Ge 3.90

Calculated values
DFT total energy ... -3.38 eV per atom
Total magnetic moment ... 0.000 μB/atom
DFT formation energy ... 0.9097 eV per atom
Energy above the lowest structure with this stoichiometry ... 0.0 meV per atom